Here is a geometry-optimized Tb6Pm4Pr structure from Alexandria. Energies are from PBE-GGA.

Properties
SG: P-6m2 (187)
Total magnetization in Bohr magnetons per cell: 0.000
D(E_F) in states/eV/cell: 16.37
Mass density in g cm⁻³: 7.4
Total DFT energy (no corrections) in eV/atom: -4.535

a b c (Å): 11.0706 11.0706 3.5501
angles (deg): 90.00 90.00 120.00
Last column: nearest neighbours and their distance in Å.
Positions (direct):
Tb: 0.0061 0.5031 0.0000  5 Pm 3.14-3.48
Tb: 0.1704 0.3407 0.5000  4 Pm 3.54-3.59, 6 Tb 3.55-3.60, 2 Pr 3.72
Tb: 0.1704 0.8296 0.5000  4 Pm 3.54-3.59, 6 Tb 3.55-3.60, 2 Pr 3.72
Tb: 0.4969 0.5031 0.0000  5 Pm 3.14-3.48
Tb: 0.4969 0.9939 0.0000  5 Pm 3.14-3.48
Tb: 0.6593 0.8296 0.5000  4 Pm 3.54-3.59, 6 Tb 3.55-3.60, 2 Pr 3.72
Pm: 0.3333 0.6667 0.0000  3 Tb 3.14
Pm: 0.3923 0.1962 0.5000  6 Tb 3.48-3.54, 2 Pm 3.55
Pm: 0.8038 0.1962 0.5000  6 Tb 3.48-3.54, 2 Pm 3.55
Pm: 0.8038 0.6077 0.5000  6 Tb 3.48-3.54, 2 Pm 3.55
Pr: 0.0000 0.0000 0.0000  2 Pr 3.55, 6 Tb 3.72